La3ZrAs: optimized geometry, GGA-PBEsol.

* V: 159.9 Å³ per cell
* total DFT energy (no corrections): -5.7340 eV per atom
* theoretical density: 6.1 g/cm³
* energy of formation from the pure elements: 0.31 eV/atom

```
data_La3ZrAs
_symmetry_space_group_name_H-M 'P m -3 m'
_symmetry_Int_Tables_number 221
_symmetry_space_group_name_Hall '-P 4 2 3'
_cell_length_a 5.428
_cell_length_b 5.428
_cell_length_c 5.428
_cell_angle_alpha 90.00
_cell_angle_beta 90.00
_cell_angle_gamma 90.00
loop_
_atom_site_label
_atom_site_fract_x
_atom_site_fract_y
_atom_site_fract_z
La1 0.000 0.000 0.500
Zr1 0.000 0.000 0.000
As1 0.500 0.500 0.500
```